No. 1
Density functional theory data (PBE) for a relaxed structure of Ta2BrCl.

For the total energy, the calculation gives -5.873 eV/atom. The density is 11.049 Mg/m³. The raw formation energy comes out at 0.93 eV per atom. As for the relative energy among the computed polymorphs: 1.349 eV/atom. The value obtained for the magnetization is 0.0 μB/f.u.

The structure belongs to space group P4/mmm (No. 123); the cell edges are 4.2397, 4.2397 and 3.9900 Å and the angles 90.00°, 90.00° and 90.00°. The inequivalent atoms are Ta at (0.0000, 0.5000, 0.0000), Br at (0.0000, 0.0000, 0.5000) and Cl at (0.5000, 0.5000, 0.5000).

---

No. 2
Density functional theory data (PBE) for a relaxed structure of Ta2BrCl.

For the total energy, the calculation gives -5.881 eV/atom. The density is 11.045 Mg/m³. The raw formation energy comes out at 0.93 eV per atom. As for the relative energy among the computed polymorphs: 1.341 eV/atom. The value obtained for the magnetization is 0.0 μB/f.u.

The structure belongs to space group Cmmm (No. 65); the cell edges are 5.9841, 7.9864 and 3.0027 Å and the angles 90.00°, 90.00° and 90.00°. The inequivalent atoms are Ta at (0.2500, 0.2500, 0.0000), Br at (0.0000, 0.0000, 0.5000) and Cl at (0.0000, 0.5000, 0.5000).

---

No. 3
Density functional theory data (PBE) for a relaxed structure of Ta2BrCl.

For the total energy, the calculation gives -5.819 eV/atom. The density is 11.691 Mg/m³. The raw formation energy comes out at 0.99 eV per atom. As for the relative energy among the computed polymorphs: 1.403 eV/atom. The value obtained for the magnetization is 0.0 μB/f.u.

The structure belongs to space group Fm-3m (No. 225); the cell edges are 6.4724, 6.4724 and 6.4724 Å and the angles 90.00°, 90.00° and 90.00°. The inequivalent atoms are Ta at (0.2500, 0.2500, 0.2500), Br at (0.0000, 0.0000, 0.0000) and Cl at (0.0000, 0.0000, 0.5000).

---

No. 4
Density functional theory data (PBE) for a relaxed structure of TaBr2Cl.

For the total energy, the calculation gives -4.934 eV/atom. The density is 4.611 Mg/m³. The raw formation energy comes out at -0.67 eV per atom. As for the relative energy among the computed polymorphs: 0.090 eV/atom. The value obtained for the magnetization is 0.8 μB/f.u.

The structure belongs to space group Cm (No. 8); the cell edges are 13.5025, 3.2737 and 7.0560 Å and the angles 90.00°, 119.68° and 90.00°. The inequivalent atoms are Ta at (0.0000, 0.0000, 0.0000), Br at (0.0023, 0.5000, 0.7130), Br at (0.1506, 0.5000, 0.2871) and Cl at (0.3624, 0.0000, 0.0007).

---

No. 5
Density functional theory data (PBE) for a relaxed structure of TaBrCl.

For the total energy, the calculation gives -5.453 eV/atom. The density is 5.639 Mg/m³. The raw formation energy comes out at -0.33 eV per atom. As for the relative energy among the computed polymorphs: 0.395 eV/atom. The value obtained for the magnetization is 0.2 μB/f.u.

The structure belongs to space group P2_1/m (No. 11); the cell edges are 4.5984, 4.9813 and 7.7932 Å and the angles 90.00°, 102.13° and 90.00°. The inequivalent atoms are Ta at (0.0214, 0.2500, 0.0596), Br at (0.0999, 0.7500, 0.2798) and Cl at (0.4343, 0.7500, 0.8160).

---

No. 6
Density functional theory data (PBE) for a relaxed structure of Ta2BrCl.

For the total energy, the calculation gives -6.328 eV/atom. The density is 10.374 Mg/m³. The raw formation energy comes out at 0.48 eV per atom. As for the relative energy among the computed polymorphs: 0.893 eV/atom. The value obtained for the magnetization is 0.0 μB/f.u.

The structure belongs to space group Immm (No. 71); the cell edges are 2.9386, 5.6943 and 9.1308 Å and the angles 90.00°, 90.00° and 90.00°. The inequivalent atoms are Ta at (0.0000, 0.0000, 0.2402), Br at (0.0000, 0.5000, 0.0000) and Cl at (0.0000, 0.5000, 0.5000).

---

No. 7
Density functional theory data (PBE) for a relaxed structure of Ta2BrCl.

For the total energy, the calculation gives -7.016 eV/atom. The density is 8.844 Mg/m³. The raw formation energy comes out at -0.21 eV per atom. As for the relative energy among the computed polymorphs: 0.205 eV/atom. The value obtained for the magnetization is 0.0 μB/f.u.

The structure belongs to space group Cmm2 (No. 35); the cell edges are 3.6187, 4.9929 and 9.9195 Å and the angles 90.00°, 90.00° and 90.00°. The inequivalent atoms are Ta at (0.0000, 0.0000, 0.0000), Ta at (0.0000, 0.5000, 0.2164), Br at (0.0000, 0.0000, 0.4210) and Cl at (0.0000, 0.5000, 0.8111).

---

No. 8
Density functional theory data (PBE) for a relaxed structure of Ta3BrCl.

For the total energy, the calculation gives -6.470 eV/atom. The density is 11.142 Mg/m³. The raw formation energy comes out at 1.35 eV per atom. As for the relative energy among the computed polymorphs: 0.000 eV/atom. The value obtained for the magnetization is 0.0 μB/f.u.

The structure belongs to space group Pm-3m (No. 221); the cell edges are 4.6119, 4.6119 and 4.6119 Å and the angles 90.00°, 90.00° and 90.00°. The inequivalent atoms are Ta at (0.0000, 0.0000, 0.5000), Br at (0.5000, 0.5000, 0.5000) and Cl at (0.0000, 0.0000, 0.0000).

---

No. 9
Density functional theory data (PBE) for a relaxed structure of TaBr2Cl.

For the total energy, the calculation gives -4.382 eV/atom. The density is 7.241 Mg/m³. The raw formation energy comes out at -0.12 eV per atom. As for the relative energy among the computed polymorphs: 0.642 eV/atom. The value obtained for the magnetization is 0.3 μB/f.u.

The structure belongs to space group P4/mmm (No. 123); the cell edges are 3.1867, 3.1867 and 8.4959 Å and the angles 90.00°, 90.00° and 90.00°. The inequivalent atoms are Ta at (0.0000, 0.0000, 0.0000), Br at (0.5000, 0.5000, 0.1922) and Cl at (0.0000, 0.0000, 0.5000).

---

No. 10
Density functional theory data (PBE) for a relaxed structure of Ta2BrCl.

For the total energy, the calculation gives -6.399 eV/atom. The density is 11.046 Mg/m³. The raw formation energy comes out at 0.41 eV per atom. As for the relative energy among the computed polymorphs: 0.823 eV/atom. The value obtained for the magnetization is 0.0 μB/f.u.

The structure belongs to space group R-3m (No. 166, hexagonal axes); the cell edges are 3.0675, 3.0675 and 26.4135 Å and the angles 90.00°, 90.00° and 120.00°. The inequivalent atoms are Ta at (0.0000, 0.0000, 0.2487), Br at (0.0000, 0.0000, 0.0000) and Cl at (0.0000, 0.0000, 0.5000).

---

No. 11
Density functional theory data (PBE) for a relaxed structure of Ta2BrCl.

For the total energy, the calculation gives -6.295 eV/atom. The density is 10.681 Mg/m³. The raw formation energy comes out at 0.51 eV per atom. As for the relative energy among the computed polymorphs: 0.927 eV/atom. The value obtained for the magnetization is 0.0 μB/f.u.

The structure belongs to space group Imm2 (No. 44); the cell edges are 3.0884, 4.9303 and 9.7453 Å and the angles 90.00°, 90.00° and 90.00°. The inequivalent atoms are Ta at (0.0000, 0.0000, 0.0000), Ta at (0.0000, 0.5000, 0.2227), Br at (0.0000, 0.5000, 0.7301) and Cl at (0.0000, 0.0000, 0.5153).

---

No. 12
Density functional theory data (PBE) for a relaxed structure of TaTl2Br2Cl4.

For the total energy, the calculation gives -4.112 eV/atom. The density is 5.297 Mg/m³. The raw formation energy comes out at -1.08 eV per atom. The value obtained for the magnetization is 1.0 μB/f.u.

The structure belongs to space group C2/m (No. 12); the cell edges are 12.9754, 7.1436 and 7.1924 Å and the angles 90.00°, 123.04° and 90.00°. The inequivalent atoms are Ta at (0.0000, 0.0000, 0.0000), Tl at (0.2477, 0.5000, 0.2182), Br at (0.2365, 0.0000, 0.2882) and Cl at (0.0262, 0.2380, 0.7918).

---

No. 13
Density functional theory data (PBE) for a relaxed structure of TaTl2Br4Cl2.

For the total energy, the calculation gives -3.960 eV/atom. The density is 5.331 Mg/m³. The raw formation energy comes out at -0.96 eV per atom. The value obtained for the magnetization is 1.0 μB/f.u.

The structure belongs to space group C2/m (No. 12); the cell edges are 12.2621, 7.6593 and 6.6113 Å and the angles 90.00°, 100.46° and 90.00°. The inequivalent atoms are Ta at (0.0000, 0.0000, 0.0000), Tl at (0.1702, 0.5000, 0.2144), Br at (0.0949, 0.2419, 0.8138) and Cl at (0.1533, 0.0000, 0.2758).

---

No. 14
Density functional theory data (PBE) for a relaxed structure of TaTl3Br2Cl6.

For the total energy, the calculation gives -3.887 eV/atom. The density is 4.467 Mg/m³. The raw formation energy comes out at -1.11 eV per atom. The value obtained for the magnetization is 0.0 μB/f.u.

The structure belongs to space group C2/m (No. 12); the cell edges are 16.2538, 9.0185 and 5.9175 Å and the angles 90.00°, 90.53° and 90.00°. The inequivalent atoms are Ta at (0.0000, 0.0000, 0.0000), Tl at (0.0000, 0.5000, 0.5000), Tl at (0.2500, 0.2500, 0.0000), Br at (0.1865, 0.5000, 0.6524), Cl at (0.0627, 0.1866, 0.2269) and Cl at (0.1174, 0.0000, 0.7653).